(1)
The following is a PBE calculation of a geometry-optimized Pm2YGa2Ag2 structure, from the Alexandria database.

Calculated values
Volume in Å³ per atom: 24.25
Energy relative to the elements in meV/atom: -381

Geometry as CIF:
```
data_Pm2YGa2Ag2
_cell_length_a 4.6273
_cell_length_b 4.6273
_cell_length_c 9.5360
_cell_angle_alpha 75.96
_cell_angle_beta 75.96
_cell_angle_gamma 60.00
_space_group_name_H-M_alt 'P 1'
_space_group_IT_number 1
loop_
_space_group_symop_operation_xyz
'x,y,z'
loop_
_atom_site_label
_atom_site_type_symbol
_atom_site_fract_x
_atom_site_fract_y
_atom_site_fract_z
Pm1 Pm 0.8749 0.8749 0.3754
Pm2 Pm 0.1251 0.1251 0.6246
Ag1 Ag 0.6062 0.6062 0.1813
Ag2 Ag 0.3938 0.3938 0.8187
Y1 Y 0.0000 0.0000 0.0000
Ga1 Ga 0.7375 0.7375 0.7874
Ga2 Ga 0.2625 0.2625 0.2126
```

***

(2)
The following is a PBE calculation of a geometry-optimized PmZnGaAg structure, from the Alexandria database.

Calculated values
Volume in Å³ per atom: 20.07
Energy relative to the elements in meV/atom: -341

Geometry as CIF:
```
data_PmZnGaAg
_cell_length_a 4.8425
_cell_length_b 4.8425
_cell_length_c 4.8425
_cell_angle_alpha 60.00
_cell_angle_beta 60.00
_cell_angle_gamma 60.00
_space_group_name_H-M_alt 'P 1'
_space_group_IT_number 1
loop_
_space_group_symop_operation_xyz
'x,y,z'
loop_
_atom_site_label
_atom_site_type_symbol
_atom_site_fract_x
_atom_site_fract_y
_atom_site_fract_z
Pm1 Pm 0.5000 0.5000 0.5000
Zn1 Zn 0.2500 0.2500 0.2500
Ga1 Ga 0.7500 0.7500 0.7500
Ag1 Ag 0.0000 0.0000 0.0000
```

***

(3)
The following is a PBE calculation of a geometry-optimized PmZnGa2Ag structure, from the Alexandria database.

Calculated values
Volume in Å³ per atom: 19.86
Energy relative to the elements in meV/atom: -436

Geometry as CIF:
```
data_PmZnGa2Ag
_cell_length_a 4.2769
_cell_length_b 4.2769
_cell_length_c 6.2139
_cell_angle_alpha 110.13
_cell_angle_beta 110.13
_cell_angle_gamma 90.00
_space_group_name_H-M_alt 'P 1'
_space_group_IT_number 1
loop_
_space_group_symop_operation_xyz
'x,y,z'
loop_
_atom_site_label
_atom_site_type_symbol
_atom_site_fract_x
_atom_site_fract_y
_atom_site_fract_z
Ga1 Ga 0.3874 0.3874 0.7748
Ga2 Ga 0.6126 0.6126 0.2252
Ag1 Ag 0.2500 0.7500 0.5000
Zn1 Zn 0.7500 0.2500 0.5000
Pm1 Pm 0.0000 0.0000 0.0000
```

***

(4)
The following is a PBE calculation of a geometry-optimized PmZnGa3Ag structure, from the Alexandria database.

Calculated values
Volume in Å³ per atom: 20.88
Energy relative to the elements in meV/atom: -132

Geometry as CIF:
```
data_PmZnGa3Ag
_cell_length_a 6.5032
_cell_length_b 5.7742
_cell_length_c 7.2716
_cell_angle_alpha 113.39
_cell_angle_beta 90.00
_cell_angle_gamma 90.00
_space_group_name_H-M_alt 'P 1'
_space_group_IT_number 1
loop_
_space_group_symop_operation_xyz
'x,y,z'
loop_
_atom_site_label
_atom_site_type_symbol
_atom_site_fract_x
_atom_site_fract_y
_atom_site_fract_z
Ag1 Ag 0.2500 0.3330 0.6659
Ag2 Ag 0.7500 0.6670 0.3341
Ga1 Ga 0.2500 0.1206 0.2413
Ga2 Ga 0.0000 0.2796 0.0000
Ga3 Ga 0.5000 0.7204 0.0000
Ga4 Ga 0.5000 0.2796 0.0000
Ga5 Ga 0.0000 0.7204 0.0000
Ga6 Ga 0.7500 0.8794 0.7587
Pm1 Pm 0.2500 0.6845 0.3690
Pm2 Pm 0.7500 0.3155 0.6310
Zn1 Zn 0.7500 0.1006 0.2012
Zn2 Zn 0.2500 0.8994 0.7988
```

***

Spin magnetization
In order: 0.0; 0.0; 0.0; 0.0
Unit: Bohr magnetons per cell